Here is an optimized crystal structure of Ti3ZnRh4 from the Alexandria database. Energies are from GGA-PBE.

Cell lengths 4.3852, 4.3852, 6.0922 Å; angles 90.00, 90.00, 90.00 degrees
Space group P4/mmm (No. 123)
Asymmetric unit:
Ti 0.0000 0.0000 0.0000
Ti 0.0000 0.0000 0.5000
Ti 0.5000 0.5000 0.0000
Zn 0.5000 0.5000 0.5000
Rh 0.0000 0.5000 0.2462

Calculated values
* theoretical density: 8.8 Mg/m³
* uncorrected energy: -60.33 eV/cell